(1)
YHg3Pt | Alexandria | PBE-GGA | relaxed; space group = Pm-3m (221); ΔE_f = 0.069 eV per atom; electronic total energy = -2.613 eV/atom; spin magnetization = 0.00 μB/f.u.; distance to the lowest polymorph of the same formula = 0 meV/atom
1.0
5.179 0.000 0.000
0.000 5.179 0.000
0.000 0.000 5.179
Y Hg Pt
1 3 1
Cartesian
0.000 0.000 0.000
0.000 2.590 2.590
2.590 0.000 2.590
2.590 2.590 0.000
2.590 2.590 2.590

***

(2)
BaErHg2 | Alexandria | PBE-GGA | relaxed; space group = R-3m (166); ΔE_f = -0.297 eV per atom; electronic total energy = -2.070 eV/atom; spin magnetization = 0.00 μB/f.u.
1.0
2.052 1.185 9.188
-2.052 1.185 9.188
0.000 -2.370 9.188
Ba Er Hg
1 1 2
Cartesian
0.000 0.000 0.000
0.000 0.000 13.783
0.000 0.000 6.549
0.000 0.000 21.016